# 1
# PrSm6Dy4

An optimized crystal structure of PrSm6Dy4 (PBE, Alexandria).

Properties
uncorrected energy: -4.3013 eV/atom
relative energy among the computed polymorphs: 0.262 eV/atom
volume: 35.35 Å³ per atom

Cell lengths 7.617, 7.617, 13.405 Å; angles 90.00, 90.00, 90.00 degrees
Space group I-42m (No. 121)
Asymmetric unit:
Pr 0.000 0.000 0.000
Sm 0.000 0.500 0.000
Sm 0.234 0.234 0.188
Dy 0.164 0.164 0.421

# 2
# Pr2Sm3Dy6

An optimized crystal structure of Pr2Sm3Dy6 (PBE, Alexandria).

Properties
uncorrected energy: -4.4078 eV/atom
relative energy among the computed polymorphs: 0.078 eV/atom
volume: 34.68 Å³ per atom

Cell lengths 4.776, 4.776, 33.443 Å; angles 90.00, 90.00, 90.00 degrees
Space group I4/mmm (No. 139)
Asymmetric unit:
Pr 0.000 0.000 0.046
Sm 0.000 0.000 0.297
Sm 0.000 0.000 0.500
Dy 0.000 0.000 0.195
Dy 0.000 0.500 0.122

# 3
# Pr5Sm2Dy4

An optimized crystal structure of Pr5Sm2Dy4 (PBE, Alexandria).

Properties
uncorrected energy: -4.5233 eV/atom
relative energy among the computed polymorphs: 0.108 eV/atom
volume: 35.51 Å³ per atom

Cell lengths 3.559, 9.266, 23.692 Å; angles 90.00, 90.00, 90.00 degrees
Space group Immm (No. 71)
Asymmetric unit:
Pr 0.000 0.000 0.000
Pr 0.000 0.299 0.354
Sm 0.000 0.500 0.231
Dy 0.000 0.187 0.500
Dy 0.000 0.500 0.096

# 4
# PrSm2Dy

An optimized crystal structure of PrSm2Dy (PBE, Alexandria).

Properties
uncorrected energy: -4.6880 eV/atom
relative energy among the computed polymorphs: 0.001 eV/atom
volume: 33.76 Å³ per atom

Cell lengths 3.6266, 3.6266, 35.5691 Å; angles 90.00, 90.00, 120.00 degrees
Space group R-3m (No. 166, hexagonal axes)
Asymmetric unit:
Pr 0.0000 0.0000 0.0000
Sm 0.0000 0.0000 0.2483
Dy 0.0000 0.0000 0.5000

# 5
# Pr3Sm4Dy8

An optimized crystal structure of Pr3Sm4Dy8 (PBE, Alexandria).

Properties
uncorrected energy: -4.3034 eV/atom
volume: 34.17 Å³ per atom

Cell lengths 13.513, 12.896, 6.812 Å; angles 90.00, 120.27, 90.00 degrees
Space group C2/m (No. 12)
Asymmetric unit:
Pr 0.000 0.000 0.000
Pr 0.250 0.250 0.000
Sm 0.000 0.500 0.000
Sm 0.000 0.500 0.500
Sm 0.250 0.250 0.500
Dy 0.000 0.141 0.500
Dy 0.000 0.244 0.000
Dy 0.232 0.000 0.967
Dy 0.235 0.000 0.493

# 6
# Pr3Sm3Dy

An optimized crystal structure of Pr3Sm3Dy (PBE, Alexandria).

Properties
uncorrected energy: -4.4997 eV/atom
relative energy among the computed polymorphs: 0.003 eV/atom
volume: 35.58 Å³ per atom

Cell lengths 8.8068, 8.8068, 22.2498 Å; angles 90.00, 90.00, 120.00 degrees
Space group R-3 (No. 148, hexagonal axes)
Asymmetric unit:
Pr 0.0038 0.7621 0.0586
Sm 0.0516 0.6027 0.8806
Dy 0.0000 0.0000 0.3464